1.
A plane-wave DFT calculation with PBE-GGA was carried out for a relaxed Ba3ZnGe3 crystal.

Cell and atoms, written as extended XYZ:
```
14
Lattice="6.576 0.000 0.000 0.000 9.675 0.000 0.000 -4.837 8.379" Properties=species:S:1:pos:R:3 pbc="T T T"
Ge 4.932 1.249 3.470
Ge 1.644 3.589 4.909
Ge 1.644 3.629 0.654
Ge 1.644 7.294 2.816
Ge 4.932 -2.457 5.562
Ge 4.932 1.208 7.725
Ba 4.932 3.015 0.605
Ba 1.644 -2.806 6.070
Ba 4.932 7.643 2.308
Ba 1.644 1.822 7.773
Ba 1.644 0.983 2.914
Ba 4.932 3.854 5.465
Zn 1.644 4.837 2.793
Zn 4.932 0.000 5.586
```

Output
DFT formation energy: -0.1925 eV/atom
Density of states at the Fermi level: 14.8 states/eV per cell
Magnetic moment: 0.00 μB/atom

***

2.
A plane-wave DFT calculation with PBE-GGA was carried out for a relaxed RbBeZnC2 crystal.

Cell and atoms, written as extended XYZ:
```
5
Lattice="-2.597 -3.218 -1.106 1.483 0.238 -4.174 3.087 -2.813 0.936" Properties=species:S:1:pos:R:3 pbc="T T T"
C -1.298 -1.609 -0.553
C 1.543 -1.407 0.468
Zn 0.000 0.000 0.000
Be 0.742 0.119 -2.087
Rb 0.987 -2.896 -2.172
```

Output
DFT formation energy: 2.1574 eV/atom
Density of states at the Fermi level: 2.9 states/eV per cell
Magnetic moment: 0.00 μB/atom

***

3.
A plane-wave DFT calculation with PBE-GGA was carried out for a relaxed MgNiW crystal.

Cell and atoms, written as extended XYZ:
```
3
Lattice="-3.212 -0.971 -2.511 -3.726 -0.982 1.649 -3.227 2.645 -0.391" Properties=species:S:1:pos:R:3 pbc="T T T"
Ni 0.000 0.000 0.000
W -5.083 0.346 -0.627
Mg -7.624 0.519 -0.940
```

Output
DFT formation energy: 1.6017 eV/atom
Density of states at the Fermi level: 5.5 states/eV per cell
Magnetic moment: 0.56 μB/atom

***

4.
A plane-wave DFT calculation with PBE-GGA was carried out for a relaxed SrMgCdO3 crystal.

Cell and atoms, written as extended XYZ:
```
12
Lattice="-1.830 -0.117 2.698 -5.013 -1.791 -3.478 3.918 -7.531 2.332" Properties=species:S:1:pos:R:3 pbc="T T T"
O -2.292 -5.511 -0.807
O 0.225 -7.417 0.818
O -3.150 -2.021 0.734
O 2.383 -6.711 2.312
O -0.633 -3.927 2.359
O -5.308 -2.728 -0.761
Mg -3.523 -1.884 -1.485
Mg 0.598 -7.555 3.037
Cd 0.985 -5.095 1.433
Cd -3.909 -4.344 0.118
Sr -0.609 -2.213 0.477
Sr -2.315 -7.226 1.074
```

Output
Magnetic moment: 0.00 μB/atom
E_tot: -5.18 eV per atom

***

5.
A plane-wave DFT calculation with PBE-GGA was carried out for a relaxed Nd2Sm7Mg2 crystal.

Cell and atoms, written as extended XYZ:
```
11
Lattice="-1.514 -8.158 2.522 3.594 -3.504 -4.323 4.201 -0.712 5.072" Properties=species:S:1:pos:R:3 pbc="T T T"
Sm 0.220 -5.372 1.583
Sm 0.000 0.000 0.000
Sm 4.366 -9.194 4.279
Sm 2.131 -2.184 2.340
Sm 4.149 -10.189 0.932
Sm 1.915 -3.179 -1.007
Sm 6.060 -7.001 1.689
Nd 3.249 -5.684 3.326
Nd 3.031 -6.689 -0.054
Mg 1.732 -8.433 2.395
Mg 4.549 -3.940 0.877
```

Output
DFT formation energy: 0.0656 eV/atom
Density of states at the Fermi level: 16.3 states/eV per cell
Magnetic moment: 0.00 μB/atom

***

6.
A plane-wave DFT calculation with PBE-GGA was carried out for a relaxed PrSmNi10 crystal.

Cell and atoms, written as extended XYZ:
```
12
Lattice="3.965 0.000 0.000 0.000 4.961 0.000 0.000 0.000 8.580" Properties=species:S:1:pos:R:3 pbc="T T T"
Ni 0.000 0.000 2.840
Ni 1.983 1.235 2.126
Ni 0.000 2.480 1.410
Ni 1.983 0.000 4.290
Ni 1.983 2.480 0.000
Ni 1.983 1.235 6.454
Ni 0.000 0.000 5.740
Ni 1.983 3.726 6.454
Ni 1.983 3.726 2.126
Ni 0.000 2.480 7.170
Pr 0.000 2.480 4.290
Sm 0.000 0.000 0.000
```

Output
DFT formation energy: -0.2785 eV/atom
Density of states at the Fermi level: 13.7 states/eV per cell
Magnetic moment: 0.24 μB/atom